GGA-PBE ZrBi2, relaxed; calculated total energy = -5.73 eV/atom
1.0
0.000 3.366 0.000
3.366 0.000 0.000
-1.683 -1.683 -7.268
Zr Bi
1 2
direct
0.000 0.000 0.000
0.648 0.648 0.296
0.352 0.352 0.704


GGA-PBE LaTmSi, relaxed; calculated total energy = -5.38 eV/atom
1.0
0.000 3.500 3.500
3.500 0.000 3.500
3.500 3.500 0.000
La Tm Si
1 1 1
direct
0.250 0.250 0.250
0.750 0.750 0.750
0.000 0.000 0.000


GGA-PBE KZnPO4, relaxed; calculated total energy = -6.04 eV/atom
1.0
-2.550 -7.484 -2.920
8.462 -2.090 -2.032
0.639 -2.096 4.815
P O K Zn
4 16 4 4
direct
0.212 0.427 0.524
0.712 0.073 0.524
0.788 0.573 0.024
0.288 0.927 0.024
0.772 0.214 0.381
0.468 0.918 0.060
0.761 0.934 0.367
0.261 0.566 0.367
0.728 0.714 0.881
0.532 0.082 0.560
0.292 0.440 0.789
0.792 0.060 0.789
0.228 0.786 0.881
0.968 0.582 0.060
0.239 0.066 0.867
0.739 0.434 0.867
0.208 0.940 0.289
0.272 0.286 0.381
0.032 0.418 0.560
0.708 0.560 0.289
0.005 0.237 0.026
0.505 0.263 0.026
0.995 0.763 0.526
0.495 0.737 0.526
0.803 0.413 0.517
0.197 0.587 0.017
0.697 0.913 0.017
0.303 0.087 0.517


GGA-PBE ErAsW, relaxed; calculated total energy = -7.23 eV/atom
1.0
0.000 3.154 3.154
3.154 0.000 3.154
3.154 3.154 0.000
W Er As
1 1 1
direct
0.750 0.750 0.750
0.250 0.250 0.250
0.000 0.000 0.000


GGA-PBE CuTc2Ge2, relaxed; calculated total energy = -6.33 eV/atom
1.0
-1.829 1.829 5.904
1.829 -1.829 5.904
1.829 1.829 -5.904
Tc Ge Cu
2 2 1
direct
0.399 0.399 0.000
0.601 0.601 0.000
0.750 0.250 0.500
0.250 0.750 0.500
0.000 0.000 0.000


GGA-PBE Zr4Ni3, relaxed; energy relative to the elements = -0.12 eV/atom
1.0
5.191 5.992 0.000
-2.593 7.488 0.000
0.000 0.000 4.492
Zr Ni
8 6
direct
0.891 0.293 0.500
0.810 0.952 0.500
0.061 0.945 0.000
0.387 0.034 0.500
0.802 0.708 0.000
0.565 0.204 0.000
0.151 0.530 0.500
0.143 0.286 0.000
0.318 0.574 0.000
0.521 0.417 0.500
0.679 0.461 0.000
0.432 0.821 0.000
0.274 0.777 0.500
0.634 0.664 0.500


GGA-PBE Sc2ZnIr, relaxed; energy relative to the elements = -0.73 eV/atom
1.0
-4.097 0.922 -1.952
-1.430 -6.398 -0.019
-5.724 1.242 12.599
Sc Zn Ir
12 6 6
direct
0.501 0.250 0.667
0.001 0.250 0.833
0.999 0.250 0.167
0.001 0.750 0.833
0.499 0.750 0.333
0.500 0.750 0.000
0.501 0.750 0.667
0.500 0.250 0.000
0.000 0.750 0.500
0.999 0.750 0.167
0.499 0.250 0.333
0.000 0.250 0.500
0.500 0.500 0.500
0.998 0.000 0.333
0.502 0.500 0.833
0.002 0.000 0.667
0.498 0.500 0.167
0.000 0.000 0.000
0.000 0.500 0.000
0.500 0.000 0.500
0.999 0.500 0.667
0.499 0.000 0.833
0.001 0.500 0.333
0.501 0.000 0.167


GGA-PBE LuNb2, relaxed; energy relative to the elements = 0.16 eV/atom
1.0
-0.443 3.011 4.807
-5.130 1.463 1.978
-2.036 -2.450 4.714
Lu Nb
2 4
direct
0.250 0.250 0.250
0.000 0.000 0.000
0.625 0.625 0.625
0.625 0.125 0.625
0.625 0.625 0.125
0.125 0.625 0.625


GGA-PBE LuFeBIr, relaxed; calculated total energy = -6.77 eV/atom
1.0
0.000 3.093 3.093
3.093 0.000 3.093
3.093 3.093 0.000
B Fe Ir Lu
1 1 1 1
direct
0.000 0.000 0.000
0.750 0.750 0.750
0.500 0.500 0.500
0.250 0.250 0.250


GGA-PBE PmTmTl2, relaxed; calculated total energy = -3.83 eV/atom
1.0
-0.026 -2.333 2.998
-2.348 -2.347 -1.847
5.990 -3.742 -2.859
Tl Pm Tm
2 1 1
direct
0.000 0.000 0.237
0.000 0.000 0.763
0.500 0.500 0.500
0.500 0.500 0.000


GGA-PBE PmBi, relaxed; calculated total energy = -5.23 eV/atom
1.0
4.051 0.948 4.963
1.640 -2.997 -2.649
2.269 3.463 -2.514
Pm Bi
2 2
direct
0.754 0.377 0.750
0.246 0.623 0.250
0.230 0.115 0.750
0.770 0.885 0.250


GGA-PBE ZnCd, relaxed; energy relative to the elements = 0.08 eV/atom
1.0
-4.243 -3.404 -2.361
2.894 -1.806 4.851
-3.304 2.186 2.785
Zn Cd
4 4
direct
0.333 0.667 0.500
0.491 0.983 0.000
0.491 0.509 0.000
0.017 0.509 0.000
0.830 0.170 0.500
0.000 0.000 0.000
0.340 0.170 0.500
0.830 0.660 0.500